[1]
Density functional theory data (PBEsol) for an optimized crystal structure of ZnCuHg.

Cell lengths 4.9679, 4.9679, 4.9679 Å; angles 142.18, 142.18, 54.55 degrees
Fractional coordinates of all 3 atoms:
Zn 0.0000 0.0000 0.0000
Cu 0.3700 0.3700 0.0000
Hg 0.6875 0.6875 0.0000

The total energy is -2.095 eV per atom. The density comes out at 11.954 Mg/m³.


[2]
Density functional theory data (PBEsol) for an optimized crystal structure of ZrCuHg2.

Cell lengths 5.2337, 5.2337, 2.9094 Å; angles 90.00, 90.00, 107.52 degrees
Fractional coordinates of all 4 atoms:
Zr 0.0000 0.0000 0.0000
Cu 0.5000 0.5000 0.0000
Hg 0.0000 0.5000 0.5000
Hg 0.5000 0.0000 0.5000

The total energy is -3.556 eV per atom. The density comes out at 12.148 Mg/m³. For the energy above the most stable polymorph in this dataset, the calculation gives 146 meV/atom.


[3]
Density functional theory data (PBEsol) for an optimized crystal structure of ZrCuHg.

Cell lengths 4.5414, 4.5414, 2.9470 Å; angles 90.00, 90.00, 120.00 degrees
Fractional coordinates of all 3 atoms:
Zr 0.0000 0.0000 0.0000
Cu 0.6667 0.3333 0.5000
Hg 0.3333 0.6667 0.5000

The total energy is -4.850 eV per atom. The density comes out at 11.210 Mg/m³.


[4]
Density functional theory data (PBEsol) for an optimized crystal structure of Zr3CuHg.

Cell lengths 5.1695, 5.1695, 5.1695 Å; angles 90.00, 90.00, 90.00 degrees
Fractional coordinates of all 5 atoms:
Zr 0.0000 0.0000 0.5000
Zr 0.0000 0.5000 0.0000
Zr 0.5000 0.0000 0.0000
Cu 0.5000 0.5000 0.5000
Hg 0.0000 0.0000 0.0000

The total energy is -5.120 eV per atom. The density comes out at 6.464 Mg/m³.


[5]
Density functional theory data (PBEsol) for an optimized crystal structure of ZrCuHg2.

Cell lengths 4.6856, 4.6856, 4.6856 Å; angles 119.78, 119.78, 90.38 degrees
Fractional coordinates of all 4 atoms:
Zr 0.0000 0.0000 0.0000
Cu 0.2500 0.7500 0.5000
Hg 0.5000 0.5000 0.0000
Hg 0.7500 0.2500 0.5000

The total energy is -3.702 eV per atom. The density comes out at 12.650 Mg/m³. For the energy above the most stable polymorph in this dataset, the calculation gives 0 meV/atom.


[6]
Density functional theory data (PBEsol) for an optimized crystal structure of ZrCuHg2.

Cell lengths 2.9353, 4.4270, 5.8507 Å; angles 90.00, 101.43, 90.00 degrees
Fractional coordinates of all 4 atoms:
Zr 0.0000 0.0000 0.0000
Cu 0.5000 0.0000 0.5000
Hg 0.3760 0.5000 0.7372
Hg 0.6240 0.5000 0.2628

The total energy is -3.666 eV per atom. The density comes out at 12.388 Mg/m³. For the energy above the most stable polymorph in this dataset, the calculation gives 35 meV/atom.


[7]
Density functional theory data (PBEsol) for an optimized crystal structure of HoCu5.

Cell lengths 4.9401, 4.9401, 3.9959 Å; angles 90.00, 90.00, 120.00 degrees
Fractional coordinates of all 6 atoms:
Ho 0.0000 0.0000 0.0000
Cu 0.0000 0.5000 0.5000
Cu 0.3333 0.6667 0.0000
Cu 0.5000 0.0000 0.5000
Cu 0.5000 0.5000 0.5000
Cu 0.6667 0.3333 0.0000

The total energy is -4.630 eV per atom. The density comes out at 9.490 Mg/m³.


[8]
Density functional theory data (PBEsol) for an optimized crystal structure of HoCu5.

Cell lengths 4.8736, 4.8736, 4.8736 Å; angles 60.00, 60.00, 60.00 degrees
Fractional coordinates of all 6 atoms:
Ho 0.0000 0.0000 0.0000
Cu 0.3761 0.3761 0.3761
Cu 0.3761 0.3761 0.8718
Cu 0.3761 0.8718 0.3761
Cu 0.7500 0.7500 0.7500
Cu 0.8718 0.3761 0.3761

The total energy is -4.629 eV per atom. The density comes out at 9.792 Mg/m³.


| no. | formation energy (eV/atom) |
| --- | --- |
| 1 | 0.07 |
| 2 | 0.08 |
| 3 | -0.19 |
| 4 | 1.31 |
| 5 | -0.06 |
| 6 | -0.03 |
| 7 | -0.19 |
| 8 | -0.19 |